Ca2HgGe PBE-GGA optimized geometry; E_form = 0.29 eV/atom; symmetry = Immm (71)
1.0
6.061 -1.721 -3.096
-1.612 6.091 3.096
-4.246 -0.128 5.590
Ca Ge Hg
2 1 1
direct
0.000 0.246 0.246
0.000 0.754 0.754
0.000 0.000 0.000
0.000 0.500 0.500